A relaxed structure of PmDy5Ho. Source: Alexandria, functional PBE. Values from VASP.

Values from the calculation:
**Energy above the lowest structure with this stoichiometry**: 0.00 eV per formula unit
**DOS at the Fermi energy**: 1.128 states/eV per atom
**E_tot**: -4.43 eV/atom

Cell and atoms, written as Quantum ESPRESSO input:
```
&SYSTEM
  ibrav = 0, nat = 14, ntyp = 3
/
ATOMIC_SPECIES
Pm 145.00 Pm.upf
Dy 162.50 Dy.upf
Ho 164.93 Ho.upf
CELL_PARAMETERS angstrom
5.849 -3.370 0.000
5.849 3.370 0.000
-4.296 0.000 11.432
ATOMIC_POSITIONS crystal
Pm 0.030 0.970 0.750
Pm 0.970 0.030 0.250
Dy 0.148 0.414 0.754
Dy 0.188 0.654 0.499
Dy 0.346 0.812 0.001
Dy 0.410 0.590 0.250
Dy 0.414 0.148 0.254
Dy 0.586 0.852 0.746
Dy 0.590 0.410 0.750
Dy 0.654 0.188 0.999
Dy 0.812 0.346 0.501
Dy 0.852 0.586 0.246
Ho 0.000 0.500 0.000
Ho 0.500 0.000 0.500
```

***

A relaxed structure of Ba4Pm. Source: Alexandria, functional PBE. Values from VASP.

Values from the calculation:
**DOS at the Fermi energy**: 2.008 states/eV per atom
**E_tot**: -2.08 eV/atom

Cell and atoms, written as Quantum ESPRESSO input:
```
&SYSTEM
  ibrav = 0, nat = 5, ntyp = 2
/
ATOMIC_SPECIES
Ba 137.33 Ba.upf
Pm 145.00 Pm.upf
CELL_PARAMETERS angstrom
6.714 0.000 0.000
0.000 6.714 0.000
0.000 0.000 6.714
ATOMIC_POSITIONS crystal
Ba 0.000 0.000 0.000
Ba 0.000 0.500 0.500
Ba 0.500 0.000 0.500
Ba 0.500 0.500 0.000
Pm 0.500 0.500 0.500
```

***

A relaxed structure of ZrOs2Pb. Source: Alexandria, functional PBE. Values from VASP.

Values from the calculation:
**DOS at the Fermi energy**: 0.999 states/eV per atom
**E_tot**: -7.88 eV/atom

Cell and atoms, written as Quantum ESPRESSO input:
```
&SYSTEM
  ibrav = 0, nat = 8, ntyp = 3
/
ATOMIC_SPECIES
Zr 91.22 Zr.upf
Os 190.23 Os.upf
Pb 207.20 Pb.upf
CELL_PARAMETERS angstrom
-2.113 2.113 9.395
2.113 -2.113 9.395
2.113 2.113 -9.395
ATOMIC_POSITIONS crystal
Zr 0.000 0.000 0.000
Zr 0.750 0.250 0.500
Os 0.049 0.625 0.924
Os 0.375 0.299 0.424
Os 0.701 0.125 0.076
Os 0.875 0.951 0.576
Pb 0.250 0.750 0.500
Pb 0.500 0.500 0.000
```